Record 1
# Pm6GaRu2Br3 (GGA-PBE, relaxed)
# Formation energy from raw total energies = -832 meV/atom
# N(E_F) = 0.61 states/eV/atom
# Crystal system = monoclinic
data_Pm6GaRu2Br3
_space_group_name_H-M_alt 'C 1 2/m 1'
_space_group_IT_number 12
_cell_length_a 7.175
_cell_length_b 12.447
_cell_length_c 8.109
_cell_angle_alpha 90.00
_cell_angle_beta 107.23
_cell_angle_gamma 90.00
loop_
_space_group_symop_operation_xyz
'x,y,z'
'-x,-y,-z'
'-x,y,-z'
'x,-y,z'
'x+1/2,y+1/2,z'
'-x+1/2,-y+1/2,-z'
'-x+1/2,y+1/2,-z'
'x+1/2,-y+1/2,z'
loop_
_atom_site_label
_atom_site_type_symbol
_atom_site_fract_x
_atom_site_fract_y
_atom_site_fract_z
_atom_site_occupancy
Pm1 Pm 0.212 0.000 0.201 1
Pm2 Pm 0.244 0.322 0.200 1
Ga1 Ga 0.000 0.500 0.000 1
Ru1 Ru 0.000 0.166 0.000 1
Br1 Br 0.000 0.000 0.500 1
Br2 Br 0.000 0.334 0.500 1

Record 2
# ReIr2Cl (GGA-PBE, relaxed)
# Energy relative to the lowest polymorph listed for this composition = 1.71 eV per formula unit
# Formation energy from raw total energies = 720 meV/atom
# N(E_F) = 1.16 states/eV/atom
# Crystal system = orthorhombic
data_ReIr2Cl
_space_group_name_H-M_alt 'I m m m'
_space_group_IT_number 71
_space_group_name_Hall '-I 2 2'
_cell_length_a 2.732
_cell_length_b 4.473
_cell_length_c 10.471
_cell_angle_alpha 90.00
_cell_angle_beta 90.00
_cell_angle_gamma 90.00
loop_
_atom_site_label
_atom_site_type_symbol
_atom_site_fract_x
_atom_site_fract_y
_atom_site_fract_z
_atom_site_occupancy
Re1 Re 0.000 0.000 0.000 1
Ir1 Ir 0.000 0.500 0.280 1
Cl1 Cl 0.000 0.000 0.500 1

Record 3
# Hf2SnGeMo (GGA-PBE, relaxed)
# ΔE_f = 1.67 eV per atom
# N(E_F) = 1.08 states/eV/atom
# Crystal system = tetragonal
data_Hf2SnGeMo
_space_group_name_H-M_alt 'P 4/m m m'
_space_group_IT_number 123
_space_group_name_Hall '-P 4 2'
_cell_length_a 5.278
_cell_length_b 5.278
_cell_length_c 4.884
_cell_angle_alpha 90.00
_cell_angle_beta 90.00
_cell_angle_gamma 90.00
loop_
_atom_site_label
_atom_site_type_symbol
_atom_site_fract_x
_atom_site_fract_y
_atom_site_fract_z
_atom_site_occupancy
Hf1 Hf 0.000 0.500 0.000 1
Sn1 Sn 0.000 0.000 0.000 1
Ge1 Ge 0.000 0.000 0.500 1
Mo1 Mo 0.500 0.500 0.500 1